The following is a DFT calculation (PBE) of a relaxed structure of Cs2ZrAlS5.

* E_tot: -5.05 eV per atom
* energy relative to the elements, uncorrected: -27.7 kcal/mol of atoms

Geometry as POSCAR:
```
Cs2ZrAlS5
1.0
3.754 0.000 0.000
0.000 14.587 0.000
-1.875 0.000 10.536
Cs Zr Al S
4 2 2 10
direct
0.125 0.000 0.251
0.128 0.382 0.254
0.872 0.882 0.746
0.875 0.500 0.749
0.211 0.713 0.423
0.789 0.213 0.577
0.420 0.135 0.839
0.580 0.635 0.161
0.075 0.727 0.150
0.294 0.329 0.588
0.315 0.088 0.630
0.324 0.691 0.650
0.484 0.015 0.968
0.516 0.515 0.032
0.676 0.191 0.350
0.685 0.588 0.370
0.706 0.829 0.412
0.925 0.227 0.850
```

***

The following is a DFT calculation (PBE) of a relaxed structure of Cs3Al2Sb3.

* E_tot: -3.14 eV per atom
* energy relative to the elements, uncorrected: -7.7 kcal/mol of atoms

Geometry as POSCAR:
```
Cs3Al2Sb3
1.0
2.416 -7.949 0.000
2.416 7.949 0.000
0.000 0.000 16.345
Cs Al Sb
6 4 6
direct
0.067 0.933 0.611
0.067 0.933 0.889
0.372 0.628 0.750
0.628 0.372 0.250
0.933 0.067 0.111
0.933 0.067 0.389
0.237 0.763 0.094
0.237 0.763 0.406
0.763 0.237 0.594
0.763 0.237 0.906
0.309 0.691 0.250
0.341 0.659 0.541
0.341 0.659 0.959
0.659 0.341 0.041
0.659 0.341 0.459
0.691 0.309 0.750
```

***

The following is a DFT calculation (PBE) of a relaxed structure of CsAlSb.

* E_tot: -3.07 eV per atom
* ΔE to the lowest computed polymorph: 129 meV/atom
* energy relative to the elements, uncorrected: -3.8 kcal/mol of atoms

Geometry as POSCAR:
```
CsAlSb
1.0
4.517 0.000 0.000
-2.258 3.912 0.000
0.000 0.000 6.571
Cs Al Sb
1 1 1
direct
0.000 0.000 0.000
0.333 0.667 0.424
0.667 0.333 0.551
```

***

The following is a DFT calculation (PBE) of a relaxed structure of Cs2AlSb2.

* E_tot: -3.08 eV per atom
* ΔE to the lowest computed polymorph: 21 meV/atom
* energy relative to the elements, uncorrected: -7.9 kcal/mol of atoms

Geometry as POSCAR:
```
Cs2AlSb2
1.0
8.294 -3.636 0.000
8.294 3.636 0.000
-5.766 0.000 8.517
Cs Al Sb
4 2 4
direct
0.139 0.139 0.414
0.254 0.254 0.127
0.746 0.746 0.873
0.861 0.861 0.586
0.499 0.499 0.851
0.501 0.501 0.149
0.342 0.342 0.860
0.435 0.435 0.554
0.565 0.565 0.446
0.658 0.658 0.140
```